A geometry-optimized NaCePmIn structure. Source: the Alexandria database, functional PBE.

Summary:
Raw total energy: -3.720 eV per atom
Formation enthalpy at 0 K: -0.0342 eV/atom
Magnetization: 1.045 μB/f.u.

Unit cell a=7.8063 b=7.8063 c=7.8063 alpha=90.00 beta=90.00 gamma=90.00
Space group F-43m (No. 216)
Inequivalent atoms, fractional coordinates:
Na (0.0000, 0.0000, 0.0000) (multiplicity 4)
Ce (0.2500, 0.2500, 0.2500) (multiplicity 4)
Pm (0.2500, 0.2500, 0.7500) (multiplicity 4)
In (0.0000, 0.0000, 0.5000) (multiplicity 4)